A plane-wave DFT calculation with PBE-GGA was carried out for an optimized crystal structure of NiOsRh2.

Total energy in Ha/atom: -0.2873
Formation energy from the elements in eV per atom: 0.111
Energy relative to the lowest polymorph listed for this composition in eV per atom: 0.074
Space group: I-4m2, No. 119

The structure in POSCAR format:
```
NiOsRh2
1.0
-1.8760 1.8760 3.8307
1.8760 -1.8760 3.8307
1.8760 1.8760 -3.8307
Ni Os Rh
1 1 2
direct
0.0000 0.0000 0.0000 Ni
0.2500 0.7500 0.5000 Os
0.5000 0.5000 0.0000 Rh
0.7500 0.2500 0.5000 Rh
```

***

A plane-wave DFT calculation with PBE-GGA was carried out for an optimized crystal structure of SiSe2SBr.

Total energy in Ha/atom: -0.1100
Energy relative to the elements, uncorrected in eV per atom: 0.65
Energy relative to the lowest polymorph listed for this composition in eV per atom: 0.000
Space group: P4/mmm, No. 123

The structure in POSCAR format:
```
SiSe2SBr
1.0
4.9295 0.0000 0.0000
0.0000 4.9295 0.0000
0.0000 0.0000 4.7925
Si Se S Br
1 2 1 1
direct
0.0000 0.0000 0.0000 Si
0.0000 0.5000 0.0000 Se
0.5000 0.0000 0.0000 Se
0.5000 0.5000 0.5000 S
0.0000 0.0000 0.5000 Br
```

***

A plane-wave DFT calculation with PBE-GGA was carried out for an optimized crystal structure of CePr3Ho2S6.

Total energy in Ha/atom: -0.2400
Energy relative to the elements, uncorrected in eV per atom: -2.02
Space group: C2/m, No. 12

The structure in POSCAR format:
```
CePr3Ho2S6
1.0
3.4627 -6.0102 0.0000
3.4627 6.0102 0.0000
-2.3252 0.0000 6.6138
Ce Pr Ho S
1 3 2 6
direct
0.0000 0.0000 0.0000 Ce
0.1653 0.8347 0.5000 Pr
0.5000 0.5000 0.5000 Pr
0.8347 0.1653 0.5000 Pr
0.3329 0.6671 0.0000 Ho
0.6671 0.3329 0.0000 Ho
0.0782 0.4180 0.2343 S
0.2626 0.2626 0.7674 S
0.4180 0.0782 0.2343 S
0.5820 0.9218 0.7657 S
0.7374 0.7374 0.2326 S
0.9218 0.5820 0.7657 S
```

***

A plane-wave DFT calculation with PBE-GGA was carried out for an optimized crystal structure of SrTi2Ni2.

Total energy in Ha/atom: -0.2090
Formation energy from the elements in eV per atom: 0.120
Energy relative to the lowest polymorph listed for this composition in eV per atom: 0.192
Space group: I4/mmm, No. 139

The structure in POSCAR format:
```
SrTi2Ni2
1.0
-2.2448 2.2448 5.0026
2.2448 -2.2448 5.0026
2.2448 2.2448 -5.0026
Sr Ti Ni
1 2 2
direct
0.0000 0.0000 0.0000 Sr
0.3452 0.3452 0.0000 Ti
0.6548 0.6548 0.0000 Ti
0.2500 0.7500 0.5000 Ni
0.7500 0.2500 0.5000 Ni
```